Material: Ag2GeS4
Method: DFT, PBE
State: relaxed

## Properties
VASP energy, eV per formula unit: -26.1
Excess energy over the best structure of this formula in the dataset, eV per atom: 0.000
Total magnetic moment, μB per atom: 0.000

Cell lengths 12.7786, 3.6433, 6.4393 Å; angles 90.00, 113.30, 90.00 degrees
Closest atoms and distances in Å follow each position.
Space group C2/m (No. 12)
Unique sites:
Ag: 0.2156 0.0000 0.1931 (multiplicity 4)  4 S 2.51-2.59
Ge: 0.0000 0.5000 0.5000 (multiplicity 2)  6 S 2.40-2.50
S: 0.1054 0.5000 0.9018 (multiplicity 4)  1 Ge 2.40, 3 Ag 2.59
S: 0.1311 0.0000 0.4846 (multiplicity 4)  2 Ge 2.50, 1 Ag 2.51